w.
Computed, not measured: a relaxed structure of NdY2Cu4Sn2Ge2 at the PBE level of DFT.

Results
Magnetic moment (μB per cell): 0.0

Cell lengths 8.342, 8.342, 8.342 Å; angles 149.66, 131.90, 57.94 degrees
Fractional positions:
Sn  0.780  0.780  0.000
Sn  0.220  0.220  0.000
Cu  0.971  0.660  0.311
Cu  0.029  0.340  0.689
Cu  0.651  0.340  0.311
Cu  0.349  0.660  0.689
Y  0.625  0.125  0.500
Y  0.375  0.875  0.500
Ge  0.313  0.500  0.813
Ge  0.687  0.500  0.187
Nd  0.000  0.000  0.000

x.
Computed, not measured: a relaxed structure of NdY2Cu4Sn2Ge2 at the PBE level of DFT.

Results
Magnetic moment (μB per cell): 0.0

Cell lengths 8.306, 8.306, 8.306 Å; angles 149.93, 129.76, 59.67 degrees
Fractional positions:
Sn  0.697  0.500  0.197
Sn  0.303  0.500  0.803
Y  0.635  0.135  0.500
Y  0.365  0.865  0.500
Nd  0.000  0.000  0.000
Ge  0.218  0.218  0.000
Ge  0.782  0.782  0.000
Cu  0.363  0.677  0.687
Cu  0.010  0.323  0.687
Cu  0.990  0.677  0.313
Cu  0.637  0.323  0.313

Energy comparison, zero being the most stable, in kJ/mol of atoms: w 0.0; x 7.1.

w.
Computed, not measured: a relaxed structure of Nd2YCu4Sn2Ge2 at the PBE level of DFT.

Results
Magnetic moment (μB per cell): 0.0

Cell lengths 8.385, 8.385, 8.385 Å; angles 149.62, 131.33, 58.46 degrees
Fractional positions:
Nd  0.362  0.862  0.500
Nd  0.638  0.138  0.500
Cu  0.010  0.327  0.683
Cu  0.990  0.673  0.317
Cu  0.356  0.673  0.683
Cu  0.644  0.327  0.317
Y  0.000  0.000  0.000
Sn  0.703  0.500  0.203
Sn  0.297  0.500  0.797
Ge  0.785  0.785  0.000
Ge  0.215  0.215  0.000

x.
Computed, not measured: a relaxed structure of Nd2YCu4Sn2Ge2 at the PBE level of DFT.

Results
Magnetic moment (μB per cell): 0.0

Cell lengths 8.385, 8.385, 8.385 Å; angles 149.13, 132.63, 57.61 degrees
Fractional positions:
Nd  0.372  0.872  0.500
Nd  0.628  0.128  0.500
Sn  0.216  0.216  0.000
Sn  0.784  0.784  0.000
Y  0.000  0.000  0.000
Cu  0.654  0.341  0.313
Cu  0.028  0.341  0.687
Cu  0.346  0.659  0.687
Cu  0.972  0.659  0.313
Ge  0.307  0.500  0.807
Ge  0.693  0.500  0.193

Energy comparison, zero being the most stable, in kJ/mol of atoms: w 7.0; x 0.0.

w.
Computed, not measured: a relaxed structure of CuNiGeOs at the PBE level of DFT.

Results
Magnetic moment (μB per cell): 0.0

Cell lengths 4.188, 4.188, 4.188 Å; angles 60.00, 60.00, 60.00 degrees
Fractional positions:
Ge  0.000  0.000  0.000
Cu  0.750  0.750  0.750
Os  0.250  0.250  0.250
Ni  0.500  0.500  0.500

x.
Computed, not measured: a relaxed structure of CuNiGeOs at the PBE level of DFT.

Results
Magnetic moment (μB per cell): 0.0

Cell lengths 4.188, 4.188, 4.188 Å; angles 60.00, 60.00, 60.00 degrees
Fractional positions:
Os  0.500  0.500  0.500
Ni  0.250  0.250  0.250
Cu  0.750  0.750  0.750
Ge  0.000  0.000  0.000

Energy comparison, zero being the most stable, in kJ/mol of atoms: w 0.0; x 25.6.

w.
Computed, not measured: a relaxed structure of CuNiGePd at the PBE level of DFT.

Results
Magnetic moment (μB per cell): 0.0

Cell lengths 4.218, 4.218, 4.218 Å; angles 60.00, 60.00, 60.00 degrees
Fractional positions:
Pd  0.500  0.500  0.500
Ge  0.000  0.000  0.000
Ni  0.750  0.750  0.750
Cu  0.250  0.250  0.250

x.
Computed, not measured: a relaxed structure of CuNiGePd at the PBE level of DFT.

Results
Magnetic moment (μB per cell): 0.0

Cell lengths 4.222, 4.222, 4.222 Å; angles 60.00, 60.00, 60.00 degrees
Fractional positions:
Ni  0.500  0.500  0.500
Ge  0.000  0.000  0.000
Pd  0.250  0.250  0.250
Cu  0.750  0.750  0.750

Energy comparison, zero being the most stable, in kJ/mol of atoms: w 0.0; x 2.0.

w.
Computed, not measured: a relaxed structure of TaCuNiGe at the PBE level of DFT.

Results
Magnetic moment (μB per cell): 0.0

Cell lengths 4.297, 4.297, 4.297 Å; angles 60.00, 60.00, 60.00 degrees
Fractional positions:
Cu  0.500  0.500  0.500
Ta  0.250  0.250  0.250
Ge  0.000  0.000  0.000
Ni  0.750  0.750  0.750

x.
Computed, not measured: a relaxed structure of TaCuNiGe at the PBE level of DFT.

Results
Magnetic moment (μB per cell): 0.0

Cell lengths 4.304, 4.304, 4.304 Å; angles 60.00, 60.00, 60.00 degrees
Fractional positions:
Cu  0.750  0.750  0.750
Ta  0.250  0.250  0.250
Ge  0.000  0.000  0.000
Ni  0.500  0.500  0.500

Energy comparison, zero being the most stable, in kJ/mol of atoms: w 3.3; x 0.0.

w.
Computed, not measured: a relaxed structure of ZnCuGeOs at the PBE level of DFT.

Results
Magnetic moment (μB per cell): 0.0

Cell lengths 4.284, 4.284, 4.284 Å; angles 60.00, 60.00, 60.00 degrees
Fractional positions:
Ge  0.000  0.000  0.000
Os  0.250  0.250  0.250
Cu  0.750  0.750  0.750
Zn  0.500  0.500  0.500

x.
Computed, not measured: a relaxed structure of ZnCuGeOs at the PBE level of DFT.

Results
Magnetic moment (μB per cell): 0.0

Cell lengths 4.328, 4.328, 4.328 Å; angles 60.00, 60.00, 60.00 degrees
Fractional positions:
Ge  0.000  0.000  0.000
Zn  0.250  0.250  0.250
Os  0.500  0.500  0.500
Cu  0.750  0.750  0.750

Energy comparison, zero being the most stable, in kJ/mol of atoms: w 0.0; x 32.3.

w.
Computed, not measured: a relaxed structure of ZrCuGeOs at the PBE level of DFT.

Results
Magnetic moment (μB per cell): 0.0

Cell lengths 4.504, 4.504, 4.504 Å; angles 60.00, 60.00, 60.00 degrees
Fractional positions:
Cu  0.750  0.750  0.750
Ge  0.000  0.000  0.000
Zr  0.250  0.250  0.250
Os  0.500  0.500  0.500

x.
Computed, not measured: a relaxed structure of ZrCuGeOs at the PBE level of DFT.

Results
Magnetic moment (μB per cell): 0.0

Cell lengths 4.466, 4.466, 4.466 Å; angles 60.00, 60.00, 60.00 degrees
Fractional positions:
Cu  0.750  0.750  0.750
Zr  0.500  0.500  0.500
Os  0.250  0.250  0.250
Ge  0.000  0.000  0.000

Energy comparison, zero being the most stable, in kJ/mol of atoms: w 20.0; x 0.0.

w.
Computed, not measured: a relaxed structure of ScCuGePt at the PBE level of DFT.

Results
Magnetic moment (μB per cell): 0.0

Cell lengths 4.484, 4.484, 4.484 Å; angles 60.00, 60.00, 60.00 degrees
Fractional positions:
Pt  0.250  0.250  0.250
Cu  0.750  0.750  0.750
Ge  0.500  0.500  0.500
Sc  0.000  0.000  0.000

x.
Computed, not measured: a relaxed structure of ScCuGePt at the PBE level of DFT.

Results
Magnetic moment (μB per cell): 0.0

Cell lengths 4.503, 4.503, 4.503 Å; angles 60.00, 60.00, 60.00 degrees
Fractional positions:
Sc  0.250  0.250  0.250
Cu  0.750  0.750  0.750
Pt  0.500  0.500  0.500
Ge  0.000  0.000  0.000

y.
Computed, not measured: a relaxed structure of ScCuGePt at the PBE level of DFT.

Results
Magnetic moment (μB per cell): 0.0

Cell lengths 4.456, 4.456, 4.456 Å; angles 60.00, 60.00, 60.00 degrees
Fractional positions:
Cu  0.750  0.750  0.750
Pt  0.500  0.500  0.500
Ge  0.250  0.250  0.250
Sc  0.000  0.000  0.000

Energy comparison, zero being the most stable, in kJ/mol of atoms: w 0.0; x 7.9; y 1.6.

w.
Computed, not measured: a relaxed structure of ZnCuGePt at the PBE level of DFT.

Results
Magnetic moment (μB per cell): 0.0

Cell lengths 4.393, 4.393, 4.393 Å; angles 60.00, 60.00, 60.00 degrees
Fractional positions:
Pt  0.500  0.500  0.500
Cu  0.750  0.750  0.750
Zn  0.250  0.250  0.250
Ge  0.000  0.000  0.000

x.
Computed, not measured: a relaxed structure of ZnCuGePt at the PBE level of DFT.

Results
Magnetic moment (μB per cell): 0.0

Cell lengths 4.366, 4.366, 4.366 Å; angles 60.00, 60.00, 60.00 degrees
Fractional positions:
Ge  0.000  0.000  0.000
Zn  0.500  0.500  0.500
Cu  0.750  0.750  0.750
Pt  0.250  0.250  0.250

Energy comparison, zero being the most stable, in kJ/mol of atoms: w 11.8; x 0.0.

w.
Computed, not measured: a relaxed structure of RbCuGe at the PBE level of DFT.

Cell lengths 4.943, 4.943, 4.943 Å; angles 60.00, 60.00, 60.00 degrees
Fractional positions:
Rb  0.750  0.750  0.750
Ge  0.250  0.250  0.250
Cu  0.000  0.000  0.000

x.
Computed, not measured: a relaxed structure of RbCuGe at the PBE level of DFT.

Cell lengths 5.058, 5.058, 5.058 Å; angles 60.00, 60.00, 60.00 degrees
Fractional positions:
Cu  0.250  0.250  0.250
Ge  0.000  0.000  0.000
Rb  0.750  0.750  0.750

y.
Computed, not measured: a relaxed structure of RbCuGe at the PBE level of DFT.

Cell lengths 5.259, 5.259, 5.259 Å; angles 60.00, 60.00, 60.00 degrees
Fractional positions:
Rb  0.000  0.000  0.000
Cu  0.250  0.250  0.250
Ge  0.750  0.750  0.750

Energy comparison, zero being the most stable, in kJ/mol of atoms: w 0.0; x 10.8; y 53.3.

w.
Computed, not measured: a relaxed structure of RbCu3GeS4 at the PBE level of DFT.

Cell lengths 5.615, 7.402, 9.803 Å; angles 90.00, 104.76, 90.00 degrees
Fractional positions:
Ge  0.872  0.750  0.217
Ge  0.128  0.250  0.783
Cu  0.582  0.250  0.745
Cu  0.296  0.564  0.024
Cu  0.704  0.436  0.976
Cu  0.418  0.750  0.255
Cu  0.296  0.936  0.024
Cu  0.704  0.064  0.976
S  0.362  0.505  0.793
S  0.820  0.250  0.594
S  0.963  0.750  0.002
S  0.362  0.995  0.793
S  0.638  0.005  0.207
S  0.037  0.250  0.998
S  0.180  0.750  0.406
S  0.638  0.495  0.207
Rb  0.799  0.750  0.634
Rb  0.201  0.250  0.366

x.
Computed, not measured: a relaxed structure of RbCu3GeS4 at the PBE level of DFT.

Cell lengths 5.994, 5.994, 5.994 Å; angles 90.00, 90.00, 90.00 degrees
Fractional positions:
S  0.788  0.212  0.212
S  0.212  0.212  0.788
S  0.212  0.788  0.212
S  0.788  0.788  0.788
Rb  0.500  0.500  0.500
Cu  0.000  0.000  0.500
Cu  0.000  0.500  0.000
Cu  0.500  0.000  0.000
Ge  0.000  0.000  0.000

Energy comparison, zero being the most stable, in kJ/mol of atoms: w 0.0; x 13.9.

w.
Computed, not measured: a relaxed structure of RbCuGeS3 at the PBE level of DFT.

Cell lengths 7.678, 7.678, 10.072 Å; angles 90.00, 90.00, 27.21 degrees
Fractional positions:
Cu  0.458  0.458  0.750
Cu  0.542  0.542  0.250
S  0.947  0.947  0.250
S  0.389  0.389  0.952
S  0.053  0.053  0.750
S  0.611  0.611  0.452
S  0.611  0.611  0.048
S  0.389  0.389  0.548
Ge  0.000  0.000  0.500
Ge  0.000  0.000  0.000
Rb  0.743  0.743  0.750
Rb  0.257  0.257  0.250

x.
Computed, not measured: a relaxed structure of RbCuGeS3 at the PBE level of DFT.

Cell lengths 8.714, 3.765, 9.182 Å; angles 90.00, 113.18, 90.00 degrees
Fractional positions:
Rb  0.221  0.250  0.762
Rb  0.779  0.750  0.238
Cu  0.067  0.250  0.088
Cu  0.933  0.750  0.912
S  0.858  0.750  0.640
S  0.472  0.750  0.644
S  0.780  0.250  0.929
S  0.220  0.750  0.071
S  0.528  0.250  0.356
S  0.142  0.250  0.360
Ge  0.668  0.250  0.639
Ge  0.332  0.750  0.361

Energy comparison, zero being the most stable, in kJ/mol of atoms: w 6.5; x 0.0.